# Cr2Si2Os

Cr2Si2Os after structural relaxation (PBE, the Alexandria database).

Cell: 6.4439 6.4439 3.0082 Å, 90.00 90.00 90.00°
Last column: nearest neighbours and their distance in Å.
Space group P4/mbm (No. 127)
One atom of each set of equivalent atoms:
Cr 0.1620 0.3380 0.0000 (multiplicity 4)  6 Si 2.39-2.43
Si 0.1335 0.6335 0.5000 (multiplicity 4)  6 Cr 2.39-2.43, 1 Si 2.43, 2 Os 2.51
Os 0.0000 0.0000 0.5000 (multiplicity 2)  4 Si 2.51

Calculated total energy = -83.9 eV per cell
Total moment = 2.0 μB per formula unit
Energy relative to the elements, uncorrected = -125 meV per atom